## ReTe2W (GGA-PBE)

Data for a relaxed structure of ReTe2W.

The raw formation energy is 324 meV per atom. The value obtained for the magnetic moment is 0.00 μB per atom. The value obtained for the energy above the most stable polymorph in this dataset is 0.0 meV/atom. For the density of states at the Fermi level, the calculation gives 0.282 states/eV per atom. The symmetry is P4mm.

abc: 3.150 3.150 8.943
angles: 90.00 90.00 90.00
Element x y z (fractional)
Re 0.500 0.500 0.728
Te 0.000 0.000 0.911
Te 0.500 0.500 0.334
W 0.000 0.000 0.527


## ReTe2W (GGA-PBE)

Data for a relaxed structure of ReTe2W.

The raw formation energy is 1172 meV per atom. The value obtained for the magnetic moment is 0.00 μB per atom. The value obtained for the energy above the most stable polymorph in this dataset is 848.3 meV/atom. For the density of states at the Fermi level, the calculation gives 0.768 states/eV per atom. The symmetry is C2/m.

abc: 5.399 5.399 4.196
angles: 70.83 70.83 118.18
Element x y z (fractional)
Re 0.000 0.500 0.500
Te 0.000 0.000 0.000
Te 0.500 0.500 0.000
W 0.500 0.000 0.500


## ReTe2W (GGA-PBE)

Data for a relaxed structure of ReTe2W.

The raw formation energy is 814 meV per atom. The value obtained for the magnetic moment is 0.00 μB per atom. The value obtained for the energy above the most stable polymorph in this dataset is 490.7 meV/atom. For the density of states at the Fermi level, the calculation gives 1.017 states/eV per atom. The symmetry is C2/m.

abc: 4.581 4.581 5.608
angles: 78.35 78.35 41.13
Element x y z (fractional)
Re 0.250 0.250 0.250
Te 0.000 0.000 0.000
Te 0.500 0.500 0.500
W 0.750 0.750 0.750


## ReTe2W (GGA-PBE)

Data for a relaxed structure of ReTe2W.

The raw formation energy is 737 meV per atom. The value obtained for the magnetic moment is 0.00 μB per atom. The value obtained for the energy above the most stable polymorph in this dataset is 413.5 meV/atom. For the density of states at the Fermi level, the calculation gives 0.730 states/eV per atom. The symmetry is Imm2.

abc: 6.635 6.635 6.635
angles: 149.98 141.11 49.89
Element x y z (fractional)
Re 0.730 0.230 0.500
Te 0.957 0.957 0.000
Te 0.231 0.731 0.500
W 0.581 0.581 0.000


## ReTe2W (GGA-PBE)

Data for a relaxed structure of ReTe2W.

The raw formation energy is 404 meV per atom. The value obtained for the magnetic moment is 0.00 μB per atom. The value obtained for the energy above the most stable polymorph in this dataset is 80.9 meV/atom. For the density of states at the Fermi level, the calculation gives 0.346 states/eV per atom. The symmetry is R3m.

abc: 10.496 10.496 10.496
angles: 17.97 17.97 17.97
Element x y z (fractional)
Re 0.765 0.765 0.765
Te 0.024 0.024 0.024
Te 0.225 0.225 0.225
W 0.485 0.485 0.485


## ReTe3W (GGA-PBE)

Data for a relaxed structure of ReTe3W.

The raw formation energy is 1664 meV per atom. The value obtained for the magnetic moment is 0.86 μB per atom. The value obtained for the energy above the most stable polymorph in this dataset is 0.0 meV/atom. For the density of states at the Fermi level, the calculation gives 1.068 states/eV per atom. The symmetry is Pm-3m.

abc: 5.298 5.298 5.298
angles: 90.00 90.00 90.00
Last column: magnetic moment on the atom in μB.
Element x y z (fractional)
Re 0.500 0.500 0.500  3.79
Te 0.000 0.500 0.000  -0.08
Te 0.000 0.000 0.500  0.03
Te 0.500 0.000 0.000  -0.07
W 0.000 0.000 0.000  -0.09


## Re2Te2W (GGA-PBE)

Data for a relaxed structure of Re2Te2W.

The raw formation energy is 992 meV per atom. The value obtained for the magnetic moment is 0.00 μB per atom. The value obtained for the energy above the most stable polymorph in this dataset is 0.0 meV/atom. For the density of states at the Fermi level, the calculation gives 1.021 states/eV per atom. The symmetry is P4/mbm.

abc: 6.876 6.876 4.114
angles: 90.00 90.00 90.00
Element x y z (fractional)
Re 0.369 0.869 0.000
Re 0.869 0.631 0.000
Re 0.631 0.131 0.000
Re 0.131 0.369 0.000
Te 0.176 0.676 0.500
Te 0.676 0.824 0.500
Te 0.824 0.324 0.500
Te 0.324 0.176 0.500
W 0.000 0.000 0.000
W 0.500 0.500 0.000


## ReTeW3 (GGA-PBE)

Data for a relaxed structure of ReTeW3.

The raw formation energy is 2948 meV per atom. The value obtained for the magnetic moment is 0.00 μB per atom. The value obtained for the energy above the most stable polymorph in this dataset is 970.7 meV/atom. For the density of states at the Fermi level, the calculation gives 0.652 states/eV per atom. The symmetry is Pm-3m.

abc: 4.764 4.764 4.764
angles: 90.00 90.00 90.00
Element x y z (fractional)
Re 0.500 0.500 0.500
Te 0.000 0.000 0.000
W 0.000 0.500 0.000
W 0.000 0.000 0.500
W 0.500 0.000 0.000


## ReTe2W (GGA-PBE)

Data for a relaxed structure of ReTe2W.

The raw formation energy is 1098 meV per atom. The value obtained for the magnetic moment is 0.00 μB per atom. The value obtained for the energy above the most stable polymorph in this dataset is 774.2 meV/atom. For the density of states at the Fermi level, the calculation gives 0.697 states/eV per atom. The symmetry is I-4m2.

abc: 5.118 5.118 5.118
angles: 129.84 129.84 73.66
Element x y z (fractional)
Re 0.750 0.250 0.500
Te 0.000 0.000 0.000
Te 0.250 0.750 0.500
W 0.500 0.500 0.000


## Re2Te2W (GGA-PBE)

Data for a relaxed structure of Re2Te2W.

The raw formation energy is 1363 meV per atom. The value obtained for the magnetic moment is 0.16 μB per atom. The value obtained for the energy above the most stable polymorph in this dataset is 370.9 meV/atom. For the density of states at the Fermi level, the calculation gives 0.973 states/eV per atom. The symmetry is I4/mmm.

abc: 4.139 4.139 6.623
angles: 71.79 71.79 90.00
Last column: magnetic moment on the atom in μB.
Element x y z (fractional)
Re 0.398 0.398 0.204  -0.05
Re 0.602 0.602 0.796  -0.05
Te 0.750 0.250 0.500  0.00
Te 0.250 0.750 0.500  0.00
W 0.000 0.000 0.000  0.69


## ReTe2W (GGA-PBE)

Data for a relaxed structure of ReTe2W.

The raw formation energy is 1292 meV per atom. The value obtained for the magnetic moment is 0.00 μB per atom. The value obtained for the energy above the most stable polymorph in this dataset is 968.9 meV/atom. For the density of states at the Fermi level, the calculation gives 1.237 states/eV per atom. The symmetry is Pmmm.

abc: 3.268 5.443 4.448
angles: 90.00 90.00 90.00
Element x y z (fractional)
Re 0.000 0.500 0.500
Te 0.000 0.000 0.000
Te 0.500 0.500 0.000
W 0.500 0.000 0.500


## ReTe2W (GGA-PBE)

Data for a relaxed structure of ReTe2W.

The raw formation energy is 480 meV per atom. The value obtained for the magnetic moment is 0.00 μB per atom. The value obtained for the energy above the most stable polymorph in this dataset is 156.9 meV/atom. For the density of states at the Fermi level, the calculation gives 0.915 states/eV per atom. The symmetry is Pmm2.

abc: 3.130 3.846 7.707
angles: 90.00 90.00 90.00
Element x y z (fractional)
Re 0.500 0.500 0.698
Te 0.000 0.000 0.909
Te 0.500 0.500 0.340
W 0.000 0.000 0.553


## ReTe2W (GGA-PBE)

Data for a relaxed structure of ReTe2W.

The raw formation energy is 1301 meV per atom. The value obtained for the magnetic moment is 0.00 μB per atom. The value obtained for the energy above the most stable polymorph in this dataset is 977.3 meV/atom. For the density of states at the Fermi level, the calculation gives 1.129 states/eV per atom. The symmetry is Cmmm.

abc: 3.178 3.178 8.891
angles: 90.00 90.00 118.08
Element x y z (fractional)
Re 0.500 0.500 0.750
Te 0.000 0.000 0.997
Te 0.000 0.000 0.503
W 0.500 0.500 0.250


## ReTe2W (GGA-PBE)

Data for a relaxed structure of ReTe2W.

The raw formation energy is 1290 meV per atom. The value obtained for the magnetic moment is 0.00 μB per atom. The value obtained for the energy above the most stable polymorph in this dataset is 966.9 meV/atom. For the density of states at the Fermi level, the calculation gives 1.145 states/eV per atom. The symmetry is Immm.

abc: 5.474 5.474 5.474
angles: 145.25 120.92 70.40
Element x y z (fractional)
Re 0.750 0.250 0.500
Te 0.993 0.993 0.000
Te 0.507 0.507 0.000
W 0.250 0.750 0.500


## YReTe2 (GGA-PBE)

Data for a relaxed structure of YReTe2.

The raw formation energy is 206 meV per atom. The value obtained for the magnetic moment is 0.00 μB per atom. The value obtained for the energy above the most stable polymorph in this dataset is 438.7 meV/atom. For the density of states at the Fermi level, the calculation gives 1.362 states/eV per atom. The symmetry is R-3m.

abc: 9.332 9.332 9.332
angles: 21.42 21.42 21.42
Element x y z (fractional)
Re 0.750 0.750 0.750
Te 0.014 0.014 0.014
Te 0.486 0.486 0.486
Y 0.250 0.250 0.250